(1)
Density functional theory data (PBE-GGA) for crystalline La3Dy2Ag3 at its relaxed geometry.

abc: 3.7428 5.5082 22.4287
angles: 90.00 90.00 90.00
With the nearest neighbours (Å) after each atom.
Fractional coordinates of all 16 atoms:
La1 0.0000 0.0000 0.0000  8 Ag 3.33-3.36
La2 0.0000 0.5000 0.1218  6 Ag 3.31-3.33
La3 0.0000 0.5000 0.8782  6 Ag 3.31-3.33
La4 0.5000 0.0000 0.3782  6 Ag 3.31-3.33
La5 0.5000 0.0000 0.6218  6 Ag 3.31-3.33
La6 0.5000 0.5000 0.5000  8 Ag 3.33-3.36
Dy1 0.0000 0.0000 0.2326  2 Ag 3.07, 4 Dy 3.42
Dy2 0.0000 0.0000 0.7674  2 Ag 3.07, 4 Dy 3.42
Dy3 0.5000 0.5000 0.2674  2 Ag 3.07, 4 Dy 3.42
Dy4 0.5000 0.5000 0.7326  2 Ag 3.07, 4 Dy 3.42
Ag1 0.0000 0.0000 0.5000  8 La 3.31-3.33
Ag2 0.0000 0.5000 0.3758  2 Dy 3.07, 6 La 3.33-3.36
Ag3 0.0000 0.5000 0.6242  2 Dy 3.07, 6 La 3.33-3.36
Ag4 0.5000 0.0000 0.1242  2 Dy 3.07, 6 La 3.33-3.36
Ag5 0.5000 0.0000 0.8758  2 Dy 3.07, 6 La 3.33-3.36
Ag6 0.5000 0.5000 0.0000  8 La 3.31-3.33

The formation energy is -4.43 kcal/mol of atoms.

(2)
Density functional theory data (PBE-GGA) for crystalline LaDy4Ag at its relaxed geometry.

abc: 3.6146 3.6146 13.8190
angles: 90.00 90.00 90.00
With the nearest neighbours (Å) after each atom.
Fractional coordinates of all 6 atoms:
La1 0.0000 0.0000 0.0000  4 La 3.61, 8 Dy 3.63
Dy1 0.0000 0.0000 0.3660  4 Ag 3.16
Dy2 0.0000 0.0000 0.6340  4 Ag 3.16
Dy3 0.5000 0.5000 0.1861  8 Dy 3.57-3.61, 4 La 3.63
Dy4 0.5000 0.5000 0.8139  8 Dy 3.57-3.61, 4 La 3.63
Ag1 0.5000 0.5000 0.5000  8 Dy 3.16

The formation energy is -1.67 kcal/mol of atoms.

(3)
Density functional theory data (PBE-GGA) for crystalline LaDyAg at its relaxed geometry.

abc: 7.3794 5.1574 9.2564
angles: 90.00 90.00 90.00
With the nearest neighbours (Å) after each atom.
Fractional coordinates of all 12 atoms:
La1 0.0148 0.2500 0.1806  3 Ag 3.15-3.32
La2 0.4852 0.7500 0.6806  3 Ag 3.15-3.32
La3 0.5148 0.2500 0.3194  3 Ag 3.15-3.32
La4 0.9852 0.7500 0.8194  3 Ag 3.15-3.32
Dy1 0.1459 0.2500 0.5787  4 Ag 2.92-3.17
Dy2 0.3541 0.7500 0.0787  4 Ag 2.92-3.17
Dy3 0.6459 0.2500 0.9213  4 Ag 2.92-3.17
Dy4 0.8541 0.7500 0.4213  4 Ag 2.92-3.17
Ag1 0.2482 0.7500 0.3973  4 Dy 2.92-3.17, 1 La 3.15
Ag2 0.2518 0.2500 0.8973  4 Dy 2.92-3.17, 1 La 3.15
Ag3 0.7482 0.7500 0.1027  4 Dy 2.92-3.17, 1 La 3.15
Ag4 0.7518 0.2500 0.6027  4 Dy 2.92-3.17, 1 La 3.15

The formation energy is -3.68 kcal/mol of atoms.

(4)
Density functional theory data (PBE-GGA) for crystalline La2DyAg4 at its relaxed geometry.

abc: 5.4833 5.4833 12.9295
angles: 90.00 90.00 90.00
With the nearest neighbours (Å) after each atom.
Fractional coordinates of all 14 atoms:
La1 0.0000 0.0000 0.2163  4 Ag 3.05
La2 0.0000 0.0000 0.7837  4 Ag 3.05
La3 0.5000 0.5000 0.2837  4 Ag 3.05
La4 0.5000 0.5000 0.7163  4 Ag 3.05
Dy1 0.0000 0.0000 0.5000  8 Ag 3.10
Dy2 0.5000 0.5000 0.0000  8 Ag 3.10
Ag1 0.0000 0.5000 0.1122  1 Ag 2.90, 2 La 3.05, 2 Dy 3.10
Ag2 0.0000 0.5000 0.3878  1 Ag 2.90, 2 La 3.05, 2 Dy 3.10
Ag3 0.0000 0.5000 0.6122  1 Ag 2.90, 2 La 3.05, 2 Dy 3.10
Ag4 0.0000 0.5000 0.8878  1 Ag 2.90, 2 La 3.05, 2 Dy 3.10
Ag5 0.5000 0.0000 0.1122  1 Ag 2.90, 2 La 3.05, 2 Dy 3.10
Ag6 0.5000 0.0000 0.3878  1 Ag 2.90, 2 La 3.05, 2 Dy 3.10
Ag7 0.5000 0.0000 0.6122  1 Ag 2.90, 2 La 3.05, 2 Dy 3.10
Ag8 0.5000 0.0000 0.8878  1 Ag 2.90, 2 La 3.05, 2 Dy 3.10

The formation energy is -2.62 kcal/mol of atoms.